Below is BiPO4 at its PBEsol-relaxed geometry, with properties calculated at the SCAN level.

Cell: 6.9870 6.3315 7.1773 Å, 90.00 90.00 90.00°
With the nearest neighbours (Å) after each atom.
Space group Cmcm (No. 63)
One atom of each set of equivalent atoms:
Bi  0.0000  0.1356  0.2500 [4 per cell]  8 O 2.39-2.67
P  0.0000  0.3449  0.7500 [4 per cell]  4 O 1.54-1.56
O  0.0000  0.1900  0.5812 [8 per cell]  1 P 1.56
O  0.1768  0.4910  0.7500 [8 per cell]  1 P 1.54

Summary:
The value obtained for the formation energy (no corrections) is -12.4 eV per formula unit. For the density of states at the Fermi level, the calculation gives 0.00 states/eV/cell.